(1)
# B4AsOs

A relaxed structure of B4AsOs (GGA-PBE, OQMD).

```
data_B4AsOs
_space_group_name_H-M_alt 'P 1'
_space_group_IT_number 1
_space_group_name_Hall 'P 1'
_cell_length_a 3.0514
_cell_length_b 3.0514
_cell_length_c 7.0770
_cell_angle_alpha 90.00
_cell_angle_beta 90.00
_cell_angle_gamma 120.00
loop_
_atom_site_label
_atom_site_type_symbol
_atom_site_fract_x
_atom_site_fract_y
_atom_site_fract_z
B1 B 0.6667 0.3333 0.7656
B2 B 0.3333 0.6667 0.2344
B3 B 0.6667 0.3333 0.2344
Os1 Os 0.0000 0.0000 0.0000
B4 B 0.3333 0.6667 0.7656
As1 As 0.0000 0.0000 0.5000
```

Computed properties:
Energy above the most stable polymorph in this dataset in meV per atom: 0
Total moment in μB/atom: 0.04

(2)
# Hf9Mo4Se

A relaxed structure of Hf9Mo4Se (GGA-PBE, OQMD).

```
data_Hf9Mo4Se
_space_group_name_H-M_alt 'P 1'
_space_group_IT_number 1
_space_group_name_Hall 'P 1'
_cell_length_a 8.7081
_cell_length_b 8.6157
_cell_length_c 8.7084
_cell_angle_alpha 90.00
_cell_angle_beta 120.00
_cell_angle_gamma 90.00
loop_
_atom_site_label
_atom_site_type_symbol
_atom_site_fract_x
_atom_site_fract_y
_atom_site_fract_z
Hf1 Hf 0.6947 0.9545 0.8894
Hf2 Hf 0.3053 0.4545 0.1106
Mo1 Mo 0.3895 0.7500 0.2791
Mo2 Mo 0.6104 0.2500 0.3895
Hf3 Hf 0.1106 0.5455 0.3053
Hf4 Hf 0.0423 0.7500 0.9570
Hf5 Hf 0.9577 0.2500 0.0430
Mo3 Mo 0.3896 0.7500 0.6105
Hf6 Hf 0.3053 0.4545 0.6947
Hf7 Hf 0.1106 0.9545 0.3053
Mo4 Mo 0.5000 0.5000 0.5000
Hf8 Hf 0.4147 0.7500 0.9577
Hf9 Hf 0.6947 0.9545 0.3053
Hf10 Hf 0.3053 0.0455 0.6947
Hf11 Hf 0.8894 0.0455 0.6947
Hf12 Hf 0.9570 0.2500 0.4147
Hf13 Hf 0.6947 0.5455 0.8894
Mo5 Mo 0.7209 0.7500 0.6104
Se1 Se 0.1667 0.2500 0.8334
Hf14 Hf 0.0430 0.7500 0.5853
Hf15 Hf 0.3053 0.0455 0.1106
Hf16 Hf 0.5853 0.2500 0.0423
Hf17 Hf 0.8894 0.4545 0.6947
Se2 Se 0.8333 0.7500 0.1666
Hf18 Hf 0.6947 0.5455 0.3053
Mo6 Mo 0.6105 0.2500 0.7209
Mo7 Mo 0.2791 0.2500 0.3896
Mo8 Mo 0.5000 0.0000 0.5000
```

Computed properties:
Energy in eV/atom: -10.00
Total moment in μB/atom: 0.00

(3)
# Rb4Au3

A relaxed structure of Rb4Au3 (GGA-PBE, OQMD).

```
data_Rb4Au3
_space_group_name_H-M_alt 'P 1'
_space_group_IT_number 1
_space_group_name_Hall 'P 1'
_cell_length_a 8.8662
_cell_length_b 8.8662
_cell_length_c 8.8662
_cell_angle_alpha 109.47
_cell_angle_beta 109.47
_cell_angle_gamma 109.47
loop_
_atom_site_label
_atom_site_type_symbol
_atom_site_fract_x
_atom_site_fract_y
_atom_site_fract_z
Au1 Au 0.7500 0.8750 0.1250
Rb1 Rb 0.6539 0.6539 0.6539
Rb2 Rb 0.3461 0.5000 0.0000
Rb3 Rb 0.5000 0.0000 0.8461
Rb4 Rb 0.0000 0.3461 0.5000
Rb5 Rb 0.8461 0.5000 0.0000
Au2 Au 0.6250 0.3750 0.2500
Rb6 Rb 0.1539 0.1539 0.1539
Rb7 Rb 0.0000 0.8461 0.5000
Au3 Au 0.1250 0.7500 0.8750
Au4 Au 0.3750 0.2500 0.6250
Au5 Au 0.2500 0.6250 0.3750
Rb8 Rb 0.5000 0.0000 0.3461
Au6 Au 0.8750 0.1250 0.7500
```

Computed properties:
Energy in eV/atom: -2.19

(4)
# BPdNO

A relaxed structure of BPdNO (GGA-PBE, OQMD).

```
data_BPdNO
_space_group_name_H-M_alt 'P 1'
_space_group_IT_number 1
_space_group_name_Hall 'P 1'
_cell_length_a 4.9000
_cell_length_b 2.6238
_cell_length_c 5.6003
_cell_angle_alpha 90.00
_cell_angle_beta 90.00
_cell_angle_gamma 90.00
loop_
_atom_site_label
_atom_site_type_symbol
_atom_site_fract_x
_atom_site_fract_y
_atom_site_fract_z
N1 N 0.3479 0.5000 0.6199
B1 B 0.0217 0.5000 0.6067
Pd1 Pd 0.9475 0.0000 0.1205
B2 B 0.5217 0.5000 0.3933
O1 O 0.9369 0.0000 0.7237
O2 O 0.4369 0.0000 0.2763
N2 N 0.8479 0.5000 0.3801
Pd2 Pd 0.4475 0.0000 0.8795
```

Computed properties:
Energy above the most stable polymorph in this dataset in meV per atom: 125

(5)
# Cs2NiPtCl6

A relaxed structure of Cs2NiPtCl6 (GGA-PBE, OQMD).

```
data_Cs2NiPtCl6
_space_group_name_H-M_alt 'P 1'
_space_group_IT_number 1
_space_group_name_Hall 'P 1'
_cell_length_a 7.0737
_cell_length_b 7.0737
_cell_length_c 7.0737
_cell_angle_alpha 120.69
_cell_angle_beta 120.69
_cell_angle_gamma 88.81
loop_
_atom_site_label
_atom_site_type_symbol
_atom_site_fract_x
_atom_site_fract_y
_atom_site_fract_z
Cl1 Cl 0.2588 0.2588 0.0000
Cl2 Cl 0.2425 0.2425 0.4851
Cs1 Cs 0.2500 0.7500 0.5000
Pt1 Pt 0.5000 0.5000 0.0000
Cl3 Cl 0.2425 0.7575 0.0000
Cs2 Cs 0.7500 0.2500 0.5000
Ni1 Ni 0.0000 0.0000 0.0000
Cl4 Cl 0.7575 0.7575 0.5149
Cl5 Cl 0.7412 0.7412 0.0000
Cl6 Cl 0.7575 0.2425 0.0000
```

Computed properties:
Energy in eV/atom: -3.45
Total moment in μB/atom: 0.03

(6)
# PuCoSb3

A relaxed structure of PuCoSb3 (GGA-PBE, OQMD).

```
data_PuCoSb3
_space_group_name_H-M_alt 'P 1'
_space_group_IT_number 1
_space_group_name_Hall 'P 1'
_cell_length_a 12.4778
_cell_length_b 6.1151
_cell_length_c 5.9343
_cell_angle_alpha 90.00
_cell_angle_beta 90.00
_cell_angle_gamma 90.00
loop_
_atom_site_label
_atom_site_type_symbol
_atom_site_fract_x
_atom_site_fract_y
_atom_site_fract_z
Sb1 Sb 0.0017 0.2500 0.5000
Sb2 Sb 0.4423 0.9058 0.7500
Sb3 Sb 0.9983 0.7500 0.5000
Sb4 Sb 0.7225 0.9950 0.7500
Sb5 Sb 0.5577 0.0942 0.2500
Pu1 Pu 0.1949 0.5039 0.2500
Pu2 Pu 0.8051 0.0039 0.2500
Sb6 Sb 0.2775 0.4950 0.7500
Sb7 Sb 0.0017 0.2500 0.0000
Co1 Co 0.5956 0.7500 0.5000
Co2 Co 0.4044 0.2500 0.0000
Sb8 Sb 0.2775 0.0050 0.2500
Sb9 Sb 0.4423 0.5942 0.2500
Sb10 Sb 0.7225 0.5050 0.2500
Pu3 Pu 0.8051 0.4961 0.7500
Co3 Co 0.5956 0.7500 0.0000
Pu4 Pu 0.1949 0.9961 0.7500
Sb11 Sb 0.5577 0.4058 0.7500
Co4 Co 0.4044 0.2500 0.5000
Sb12 Sb 0.9983 0.7500 0.0000
```

Computed properties:
Energy in eV/atom: -7.13
Total moment in μB/atom: 1.04

(7)
# PaTaNO

A relaxed structure of PaTaNO (GGA-PBE, OQMD).

```
data_PaTaNO
_space_group_name_H-M_alt 'P 1'
_space_group_IT_number 1
_space_group_name_Hall 'P 1'
_cell_length_a 3.3833
_cell_length_b 5.9411
_cell_length_c 6.4358
_cell_angle_alpha 90.00
_cell_angle_beta 90.00
_cell_angle_gamma 90.00
loop_
_atom_site_label
_atom_site_type_symbol
_atom_site_fract_x
_atom_site_fract_y
_atom_site_fract_z
Pa1 Pa 0.0000 0.0019 0.6256
O1 O 0.5000 0.8630 0.8874
O2 O 0.5000 0.3630 0.1126
N1 N 0.0000 0.8581 0.2377
Pa2 Pa 0.0000 0.5019 0.3744
Ta1 Ta 0.5000 0.5309 0.8140
N2 N 0.0000 0.3581 0.7623
Ta2 Ta 0.5000 0.0309 0.1860
```

Computed properties:
Energy above the most stable polymorph in this dataset in meV per atom: 394
Total moment in μB/atom: 0.25

(8)
# SrGdAuS3

A relaxed structure of SrGdAuS3 (GGA-PBE, OQMD).

```
data_SrGdAuS3
_space_group_name_H-M_alt 'P 1'
_space_group_IT_number 1
_space_group_name_Hall 'P 1'
_cell_length_a 11.2190
_cell_length_b 4.0841
_cell_length_c 12.1031
_cell_angle_alpha 90.00
_cell_angle_beta 90.00
_cell_angle_gamma 90.00
loop_
_atom_site_label
_atom_site_type_symbol
_atom_site_fract_x
_atom_site_fract_y
_atom_site_fract_z
Au1 Au 0.2364 0.0000 0.2932
Au2 Au 0.7636 0.5000 0.7068
S1 S 0.8189 0.0000 0.8066
Gd1 Gd 0.6710 0.0000 0.9985
Au3 Au 0.7364 0.5000 0.2068
S2 S 0.6535 0.5000 0.5346
Gd2 Gd 0.8290 0.0000 0.4985
S3 S 0.1535 0.0000 0.9654
S4 S 0.4494 0.0000 0.1133
S5 S 0.8465 0.5000 0.0346
Sr1 Sr 0.0224 0.5000 0.8163
S6 S 0.0506 0.0000 0.6133
Au4 Au 0.2636 0.0000 0.7932
S7 S 0.1811 0.5000 0.1934
Gd3 Gd 0.3290 0.5000 0.0015
S8 S 0.9494 0.5000 0.3867
Sr2 Sr 0.5224 0.0000 0.6837
Gd4 Gd 0.1710 0.5000 0.5015
Sr3 Sr 0.9776 0.0000 0.1837
S9 S 0.3189 0.5000 0.6934
S10 S 0.3465 0.0000 0.4654
S11 S 0.6811 0.0000 0.3066
Sr4 Sr 0.4776 0.5000 0.3163
S12 S 0.5506 0.5000 0.8867
```

Computed properties:
Energy in eV/atom: -5.18
Total moment in μB/atom: 0.00

(9)
# Hf2SiTe2

A relaxed structure of Hf2SiTe2 (GGA-PBE, OQMD).

```
data_Hf2SiTe2
_space_group_name_H-M_alt 'P 1'
_space_group_IT_number 1
_space_group_name_Hall 'P 1'
_cell_length_a 7.5398
_cell_length_b 7.5398
_cell_length_c 7.5398
_cell_angle_alpha 147.46
_cell_angle_beta 147.46
_cell_angle_gamma 46.69
loop_
_atom_site_label
_atom_site_type_symbol
_atom_site_fract_x
_atom_site_fract_y
_atom_site_fract_z
Hf1 Hf 0.6030 0.6030 0.0000
Te1 Te 0.2500 0.7500 0.5000
Si1 Si 0.0000 0.0000 0.0000
Te2 Te 0.7500 0.2500 0.5000
Hf2 Hf 0.3970 0.3970 0.0000
```

Computed properties:
Energy above the most stable polymorph in this dataset in meV per atom: 71
Total moment in μB/atom: 0.00

(10)
# Y2Al4CuPd

A relaxed structure of Y2Al4CuPd (GGA-PBE, OQMD).

```
data_Y2Al4CuPd
_space_group_name_H-M_alt 'P 1'
_space_group_IT_number 1
_space_group_name_Hall 'P 1'
_cell_length_a 6.8086
_cell_length_b 5.5449
_cell_length_c 5.5449
_cell_angle_alpha 45.72
_cell_angle_beta 90.00
_cell_angle_gamma 90.00
loop_
_atom_site_label
_atom_site_type_symbol
_atom_site_fract_x
_atom_site_fract_y
_atom_site_fract_z
Al1 Al 0.6996 0.6401 0.6401
Al2 Al 0.1946 0.3604 0.3604
Y1 Y 0.5000 0.9265 0.9265
Pd1 Pd 0.5000 0.2086 0.2086
Al3 Al 0.8054 0.3604 0.3604
Y2 Y 0.0000 0.0731 0.0731
Cu1 Cu 0.0000 0.7907 0.7907
Al4 Al 0.3004 0.6401 0.6401
```

Computed properties:
Energy in eV/atom: -5.24
Total moment in μB/atom: 0.00

(11)
# KTmIn

A relaxed structure of KTmIn (GGA-PBE, OQMD).

```
data_KTmIn
_space_group_name_H-M_alt 'P 1'
_space_group_IT_number 1
_space_group_name_Hall 'P 1'
_cell_length_a 9.0327
_cell_length_b 9.0327
_cell_length_c 4.8026
_cell_angle_alpha 90.00
_cell_angle_beta 90.00
_cell_angle_gamma 149.83
loop_
_atom_site_label
_atom_site_type_symbol
_atom_site_fract_x
_atom_site_fract_y
_atom_site_fract_z
K1 K 0.5000 0.5000 0.0000
In1 In 0.6842 0.3158 0.5000
K2 K 0.0000 0.0000 0.5000
Tm1 Tm 0.1841 0.8159 0.0000
In2 In 0.3158 0.6842 0.5000
Tm2 Tm 0.8159 0.1841 0.0000
```

Computed properties:
Energy above the most stable polymorph in this dataset in meV per atom: 0
Total moment in μB/atom: 0.00

no.,density (g/cm³)
1,9.0
2,12.1
3,5.8
4,6.8
5,4.9
6,9.8
7,11.3
8,6.4
9,8.6
10,5.0
11,5.4